Density functional theory data (PBE-GGA) for a relaxed structure of KCeSnSe3.

a b c (Å): 4.338 8.538 11.778
angles (deg): 106.30 90.00 90.00
Sites, in units of the cell vectors:
Sn  0.750  0.847  0.436
Sn  0.250  0.153  0.564
Ce  0.250  0.646  0.152
Ce  0.750  0.354  0.848
Se  0.750  0.400  0.105
Se  0.750  0.364  0.598
Se  0.250  0.600  0.895
Se  0.250  0.636  0.402
Se  0.250  0.099  0.780
Se  0.750  0.901  0.220
K  0.250  0.221  0.252
K  0.750  0.779  0.748

Values from the calculation:
- formation energy from raw total energies (eV per atom) = -1.24

***

Density functional theory data (PBE-GGA) for a relaxed structure of KLiSnHg2.

a b c (Å): 5.274 5.274 5.135
angles (deg): 90.00 90.00 90.00
Sites, in units of the cell vectors:
K  0.500  0.500  0.500
Hg  0.500  0.000  0.000
Hg  0.000  0.500  0.000
Li  0.000  0.000  0.000
Sn  0.000  0.000  0.500

Values from the calculation:
- distance to the lowest polymorph of the same formula (meV/atom) = 0
- energy of formation (eV per atom) = -0.104

***

Density functional theory data (PBE-GGA) for a relaxed structure of ScTl2SnCl6.

a b c (Å): 7.112 8.947 10.410
angles (deg): 90.00 90.00 90.00
Sites, in units of the cell vectors:
Cl  0.247  0.990  0.000
Cl  0.000  0.800  0.758
Cl  0.753  0.990  0.000
Cl  0.500  0.200  0.258
Cl  0.256  0.599  0.000
Cl  0.756  0.401  0.500
Cl  0.244  0.401  0.500
Cl  0.253  0.010  0.500
Cl  0.000  0.800  0.242
Cl  0.747  0.010  0.500
Cl  0.744  0.599  0.000
Cl  0.500  0.200  0.742
Tl  0.500  0.816  0.213
Tl  0.000  0.184  0.287
Tl  0.000  0.184  0.713
Tl  0.500  0.816  0.787
Sn  0.000  0.703  0.500
Sn  0.500  0.297  0.000
Sc  0.000  0.784  0.000
Sc  0.500  0.216  0.500

Values from the calculation:
- formation energy from raw total energies (eV per atom) = -1.26

***

| no. | calculated volume (Å³/f.u.) |
| --- | --- |
| 1 | 209.3 |
| 2 | 142.8 |
| 3 | 331.2 |